(1)
CePrHo4Er2, optimized geometry, DFT PBE; E_tot = -4.718 eV/atom; symmetry = No. 47
1.0
-4.3837 -0.9822 2.2748
-0.7254 -3.8947 -3.0804
3.9668 -9.8771 3.3790
Ho Er Pr Ce
4 2 1 1
direct
0.0000 0.7539 0.7462
0.5000 0.2547 0.7457
0.5000 0.7453 0.2543
0.0000 0.2461 0.2538
0.5000 0.0000 0.5000
0.0000 0.0000 0.0000
0.5000 0.5000 0.0000
0.0000 0.5000 0.5000

(2)
Tl2Cd6In3, optimized geometry, DFT PBE; E_tot = -1.641 eV/atom; symmetry = No. 2
1.0
3.1778 0.2362 -0.5759
1.0128 9.9898 0.1939
-1.9775 1.4964 9.4361
Tl Cd In
2 6 3
direct
0.3377 0.7094 0.1884
0.6623 0.2906 0.8116
0.4235 0.3976 0.1191
0.0140 0.8592 0.4365
0.2083 0.4075 0.4154
0.9860 0.1408 0.5635
0.5765 0.6024 0.8809
0.7917 0.5925 0.5846
0.8036 0.8795 0.7491
0.5000 0.0000 0.0000
0.1964 0.1205 0.2509